Computed, not measured: an optimized crystal structure of TlRe4Mo at the PBE level of DFT. Values from VASP.

Quantum ESPRESSO input file:
```
&SYSTEM
  ibrav = 0, nat = 6, ntyp = 3
/
ATOMIC_SPECIES
Tl 204.38 Tl.upf
Re 186.21 Re.upf
Mo 95.94 Mo.upf
ATOMIC_POSITIONS crystal
Tl 0.000 0.000 0.000
Re 0.374 0.374 0.374
Re 0.374 0.374 0.877
Re 0.374 0.877 0.374
Re 0.877 0.374 0.374
Mo 0.750 0.750 0.750
CELL_PARAMETERS angstrom
0.000 3.703 3.703
3.703 0.000 3.703
3.703 3.703 0.000
```

Properties
- Formation energy from the elements: 3.69 eV per formula unit
- Spin magnetization: 0.0 μB per formula unit
- Total DFT energy (no corrections): -9.882 eV per atom
- SG: F-43m, No. 216

---

Computed, not measured: an optimized crystal structure of BeIr at the PBE level of DFT. Values from VASP.

Quantum ESPRESSO input file:
```
&SYSTEM
  ibrav = 0, nat = 8, ntyp = 2
/
ATOMIC_SPECIES
Be 9.01 Be.upf
Ir 192.22 Ir.upf
ATOMIC_POSITIONS crystal
Be 0.062 0.688 0.688
Be 0.312 0.938 0.938
Be 0.688 0.062 0.062
Be 0.938 0.312 0.312
Ir 0.161 0.589 0.161
Ir 0.411 0.839 0.411
Ir 0.589 0.161 0.589
Ir 0.839 0.411 0.839
CELL_PARAMETERS angstrom
0.000 3.616 4.489
2.850 0.000 4.489
2.850 3.616 0.000
```

Properties
- Formation energy from the elements: -0.16 eV per formula unit
- Spin magnetization: 0.0 μB per formula unit
- Total DFT energy (no corrections): -6.373 eV per atom
- SG: Fddd, No. 70

---

Computed, not measured: an optimized crystal structure of BaTl2Sb at the PBE level of DFT. Values from VASP.

Quantum ESPRESSO input file:
```
&SYSTEM
  ibrav = 0, nat = 4, ntyp = 3
/
ATOMIC_SPECIES
Ba 137.33 Ba.upf
Tl 204.38 Tl.upf
Sb 121.76 Sb.upf
ATOMIC_POSITIONS crystal
Ba 0.000 0.000 0.000
Tl 0.230 0.230 0.230
Tl 0.770 0.770 0.770
Sb 0.500 0.500 0.500
CELL_PARAMETERS angstrom
2.693 1.555 5.546
-2.693 1.555 5.546
0.000 -3.110 5.546
```

Properties
- Spin magnetization: 0.0 μB per formula unit
- Raw formation energy: -133 kJ/mol of formula units
- Total DFT energy (no corrections): -3.038 eV per atom
- SG: R-3m, No. 166

---

Computed, not measured: an optimized crystal structure of VAuI3 at the PBE level of DFT. Values from VASP.

Quantum ESPRESSO input file:
```
&SYSTEM
  ibrav = 0, nat = 5, ntyp = 3
/
ATOMIC_SPECIES
V 50.94 V.upf
Au 196.97 Au.upf
I 126.90 I.upf
ATOMIC_POSITIONS crystal
V 0.000 0.000 0.000
Au 0.500 0.500 0.500
I 0.000 0.000 0.500
I 0.000 0.500 0.000
I 0.500 0.000 0.000
CELL_PARAMETERS angstrom
5.496 0.000 0.000
0.000 5.496 0.000
0.000 0.000 5.496
```

Properties
- Spin magnetization: 2.6 μB per formula unit
- Raw formation energy: 137 kJ/mol of formula units
- Total DFT energy (no corrections): -3.126 eV per atom
- SG: Pm-3m, No. 221